# Pm6TlZn3 | the Alexandria database | GGA-PBE | relaxed
# - ΔE_f (kJ/mol of atoms) = -21.9
# - N(E_F) (states/eV per cell) = 18.00
# - E (eV/atom) = -3.696
data_Pm6TlZn3
_chemical_formula_sum 'Pm12 Tl2 Zn6'
_cell_length_a 9.527
_cell_length_b 5.168
_cell_length_c 11.496
_cell_angle_alpha 90.00
_cell_angle_beta 106.00
_cell_angle_gamma 90.00
_space_group_name_H-M_alt 'P 1 21/m 1'
_space_group_IT_number 11
_space_group_name_Hall '-P 2yb'
loop_
_atom_site_label
_atom_site_type_symbol
_atom_site_fract_x
_atom_site_fract_y
_atom_site_fract_z
Pm1 Pm 0.038 0.250 0.409
Pm2 Pm 0.147 0.750 0.184
Pm3 Pm 0.221 0.250 0.990
Pm4 Pm 0.319 0.750 0.799
Pm5 Pm 0.380 0.250 0.342
Pm6 Pm 0.389 0.250 0.620
Tl1 Tl 0.450 0.750 0.100
Zn1 Zn 0.029 0.750 0.877
Zn2 Zn 0.113 0.250 0.709
Zn3 Zn 0.273 0.750 0.476